# 1
A geometry-optimized Cs2TlHg4Au3 structure. Source: Alexandria, functional PBE.

```
Cs2TlHg4Au3
1.0
-3.322 -1.325 -3.611
0.020 -4.777 1.736
-9.233 2.690 7.509
Cs Tl Hg Au
2 1 4 3
direct
0.500 0.000 0.238
0.000 0.500 0.762
0.500 0.500 0.500
0.500 0.500 0.000
0.000 0.000 0.000
0.500 0.000 0.641
0.000 0.500 0.359
0.000 0.000 0.500
0.500 0.000 0.875
0.000 0.500 0.125
```

Values from the calculation:
SG	No. 115
energy of formation from the pure elements	-176	meV per atom
raw total energy	-1.69	eV/atom

=====

# 2
A geometry-optimized CsTl2Hg4Au structure. Source: Alexandria, functional PBE.

```
CsTl2Hg4Au
1.0
5.155 0.000 0.000
2.577 4.464 0.000
2.577 1.488 11.221
Cs Tl Hg Au
1 2 4 1
direct
0.000 0.000 0.000
0.767 0.767 0.698
0.233 0.233 0.302
0.405 0.405 0.784
0.861 0.861 0.416
0.139 0.139 0.584
0.595 0.595 0.216
0.500 0.500 0.500
```

Values from the calculation:
SG	No. 166
energy of formation from the pure elements	-86	meV per atom
raw total energy	-1.34	eV/atom

=====

# 3
A geometry-optimized Cs2TlHg3Au4 structure. Source: Alexandria, functional PBE.

```
Cs2TlHg3Au4
1.0
-0.947 5.051 -0.633
-4.381 -1.136 -2.515
-5.712 0.167 9.873
Cs Tl Hg Au
2 1 3 4
direct
0.500 0.000 0.237
0.000 0.500 0.763
0.500 0.500 0.500
0.000 0.000 0.500
0.500 0.000 0.882
0.000 0.500 0.118
0.500 0.500 0.000
0.000 0.000 0.000
0.500 0.000 0.630
0.000 0.500 0.370
```

Values from the calculation:
SG	No. 115
energy of formation from the pure elements	-174	meV per atom
raw total energy	-1.98	eV/atom

=====

# 4
A geometry-optimized CsTl2Hg7Au2 structure. Source: Alexandria, functional PBE.

```
CsTl2Hg7Au2
1.0
5.469 0.436 -0.480
0.442 5.468 -0.480
1.483 1.481 12.724
Cs Tl Hg Au
1 2 7 2
direct
0.000 0.000 0.000
0.895 0.895 0.393
0.105 0.105 0.607
0.500 0.500 0.000
0.366 0.366 0.429
0.634 0.634 0.571
0.873 0.415 0.247
0.415 0.873 0.247
0.585 0.127 0.753
0.127 0.585 0.753
0.621 0.621 0.799
0.379 0.379 0.201
```

Values from the calculation:
SG	No. 12
energy of formation from the pure elements	-62	meV per atom
raw total energy	-1.25	eV/atom

=====

> energy of formation from the pure elements of number 3 (Cs2TlHg3Au4)?

-174 meV per atom